# CrNiPtO6 PBE with a Hubbard U relaxed
# **Total energy**: -5.916 eV/atom
data_CrNiPtO6
_chemical_formula_sum 'Cr2 Ni2 Pt2 O12'
_space_group_name_H-M_alt 'P -3 1 c'
_space_group_IT_number 163
_space_group_name_Hall '-P 3 2c'
_cell_length_a 5.0883
_cell_length_b 5.0883
_cell_length_c 8.5380
_cell_angle_alpha 90.00
_cell_angle_beta 90.00
_cell_angle_gamma 120.00
loop_
_atom_site_label
_atom_site_type_symbol
_atom_site_fract_x
_atom_site_fract_y
_atom_site_fract_z
_atom_site_occupancy
Cr1 Cr 0.3333 0.6667 0.2500 1
Ni1 Ni 0.0000 0.0000 0.0000 1
Pt1 Pt 0.3333 0.6667 0.7500 1
O1 O 0.0081 0.3515 0.1272 1